1.
Computed, not measured: a geometry-optimized TaNiAgSnOsC structure at the PBE level of DFT.

abc: 3.0585 4.4726 13.0821
angles: 90.00 90.00 90.00
Positions (direct):
Sn 0.5000 0.0000 0.4283
Ag 0.5000 0.0000 0.0127
Ni 0.0000 0.0000 0.6123
Os 0.0000 0.0000 0.8069
C 0.0000 0.5000 0.2038
Ta 0.5000 0.5000 0.7124
Ag 0.0000 0.5000 0.5127
C 0.5000 0.0000 0.7038
Os 0.5000 0.5000 0.3069
Ni 0.5000 0.5000 0.1123
Ta 0.0000 0.0000 0.2124
Sn 0.0000 0.5000 0.9283

Computed properties:
For the electronic total energy, the calculation gives -7.331 eV/atom. As for the formation energy: 160 meV per atom. Its total moment is 0.00 μB per formula unit. The density of states at the Fermi level is 0.422 states/eV/atom. As for the symmetry: Imm2 (44).

=====

2.
Computed, not measured: a geometry-optimized TaNiAgSnOsC structure at the PBE level of DFT.

abc: 6.7243 3.1600 8.9291
angles: 90.00 104.31 90.00
Positions (direct):
Ta 0.6372 0.0000 0.2636
Os 0.9806 0.5000 0.3820
Ni 0.7794 0.0000 0.5631
Ta 0.6372 0.5000 0.7636
C 0.6987 0.5000 0.4289
Ag 0.3708 0.5000 0.0069
Ni 0.7794 0.5000 0.0631
C 0.6987 0.0000 0.9289
Sn 0.1486 0.5000 0.6932
Ag 0.3708 0.0000 0.5069
Os 0.9806 0.0000 0.8820
Sn 0.1486 0.0000 0.1932

Computed properties:
For the electronic total energy, the calculation gives -7.248 eV/atom. As for the formation energy: 243 meV per atom. Its total moment is 0.00 μB per formula unit. The density of states at the Fermi level is 0.749 states/eV/atom. As for the symmetry: Cm (8).

=====

3.
Computed, not measured: a geometry-optimized TaNiAgSnOsC structure at the PBE level of DFT.

abc: 6.1198 3.2157 10.2458
angles: 90.00 106.04 90.00
Positions (direct):
Ta 0.6091 0.0000 0.5721
C 0.8197 0.0000 0.0481
Ta 0.6091 0.5000 0.0721
Sn 0.3753 0.5000 0.7635
Sn 0.3753 0.0000 0.2635
Ni 0.7192 0.0000 0.8637
Ag 0.1701 0.5000 0.4790
Os 0.9220 0.5000 0.7438
Ni 0.7192 0.5000 0.3637
Os 0.9220 0.0000 0.2438
Ag 0.1701 0.0000 0.9790
C 0.8197 0.5000 0.5481

Computed properties:
For the electronic total energy, the calculation gives -7.190 eV/atom. As for the formation energy: 300 meV per atom. Its total moment is 0.00 μB per formula unit. The density of states at the Fermi level is 0.477 states/eV/atom. As for the symmetry: Cm (8).

=====

4.
Computed, not measured: a geometry-optimized TaNiAgSnOsC structure at the PBE level of DFT.

abc: 5.8611 3.5578 9.8911
angles: 90.00 90.18 90.00
Positions (direct):
C 0.7682 0.0000 0.2722
Os 0.8940 0.5000 0.5925
Os 0.8940 0.0000 0.0925
Ni 0.8944 0.0000 0.8098
Ta 0.6620 0.5000 0.9685
Ni 0.8944 0.5000 0.3098
Sn 0.1782 0.0000 0.4564
Ag 0.3858 0.5000 0.6862
Sn 0.1782 0.5000 0.9564
Ag 0.3858 0.0000 0.1862
Ta 0.6620 0.0000 0.4685
C 0.7682 0.5000 0.7722

Computed properties:
For the electronic total energy, the calculation gives -7.241 eV/atom. As for the formation energy: 250 meV per atom. Its total moment is 0.00 μB per formula unit. The density of states at the Fermi level is 0.373 states/eV/atom. As for the symmetry: Cm (8).

=====

5.
Computed, not measured: a geometry-optimized TaNiAgSnOsC structure at the PBE level of DFT.

abc: 6.8382 3.0287 9.5055
angles: 90.00 109.50 90.00
Positions (direct):
Ni 0.4287 0.0000 0.3982
Sn 0.7644 0.5000 0.5194
Sn 0.7644 0.0000 0.0194
Ni 0.4287 0.5000 0.8982
C 0.1516 0.5000 0.9068
Ta 0.2186 0.5000 0.5772
C 0.1516 0.0000 0.4068
Ag 0.5971 0.5000 0.2155
Ag 0.5971 0.0000 0.7155
Os 0.0569 0.5000 0.2601
Os 0.0569 0.0000 0.7601
Ta 0.2186 0.0000 0.0772

Computed properties:
For the electronic total energy, the calculation gives -7.377 eV/atom. As for the formation energy: 113 meV per atom. Its total moment is 0.00 μB per formula unit. The density of states at the Fermi level is 0.334 states/eV/atom. As for the symmetry: Cm (8).

=====

6.
Computed, not measured: a geometry-optimized TaNiAgSnOsC structure at the PBE level of DFT.

abc: 6.5813 3.2027 9.5912
angles: 90.00 106.36 90.00
Positions (direct):
Ag 0.1167 0.5000 0.0906
C 0.8799 0.0000 0.8786
Sn 0.3785 0.0000 0.3788
Ta 0.5927 0.0000 0.6990
Ta 0.5927 0.5000 0.1990
Ni 0.7072 0.5000 0.5099
Os 0.9405 0.5000 0.7807
Sn 0.3785 0.5000 0.8788
Ni 0.7072 0.0000 0.0099
Ag 0.1167 0.0000 0.5906
Os 0.9405 0.0000 0.2807
C 0.8799 0.5000 0.3786

Computed properties:
For the electronic total energy, the calculation gives -7.189 eV/atom. As for the formation energy: 301 meV per atom. Its total moment is 0.00 μB per formula unit. The density of states at the Fermi level is 0.502 states/eV/atom. As for the symmetry: Cm (8).